# 1
4
Lattice="3.949 -2.277 0.000 3.949 2.277 0.000 -2.669 0.000 4.592" Properties=species:S:1:pos:R:3 comment="NaGaAgAu | Alexandria via LeMat-Bulk | PBE-GGA | optimized geometry" e_form_ev_per_fu=-0.58 final_energy_ev_per_atom=-2.76 magmom_total_mub_per_cell=0.000 pbc="T T T"
Na 0.000 0.000 0.000
Ga 2.624 0.000 1.796
Ag -0.020 0.000 3.025
Au 5.257 0.000 1.694



# 2
4
Lattice="3.439 0.000 0.000 0.000 5.706 0.000 0.000 0.000 6.863" Properties=species:S:1:pos:R:3 comment="LaTbSmDy | Alexandria via LeMat-Bulk | PBE-GGA | optimized geometry" e_form_ev_per_fu=0.69 final_energy_ev_per_atom=-4.55 magmom_total_mub_per_cell=0.000 pbc="T T T"
La 0.000 0.000 0.000
Tb 1.720 2.853 5.130
Sm 0.000 0.000 3.536
Dy 0.000 2.853 1.784



# 3
12
Lattice="3.134 -5.428 0.000 3.134 5.428 0.000 -2.088 0.000 11.749" Properties=species:S:1:pos:R:3 comment="La3PrY6Er2 | Alexandria via LeMat-Bulk | PBE-GGA | optimized geometry" e_form_ev_per_fu=0.22 final_energy_ev_per_atom=-5.60 magmom_total_mub_per_cell=0.000 pbc="T T T"
La 0.000 0.000 0.000
La 3.134 1.810 0.000
La 3.134 -1.810 0.000
Pr 2.090 0.000 5.874
Y 1.043 1.815 2.989
Y -0.005 0.000 8.761
Y 1.043 -1.815 2.989
Y 3.136 1.815 8.760
Y 4.185 0.000 2.988
Y 3.136 -1.815 8.760
Er 2.090 3.617 5.874
Er 2.090 -3.617 5.874



# 4
14
Lattice="7.082 0.000 0.000 0.000 7.082 0.000 0.000 0.000 7.082" Properties=species:S:1:pos:R:3 comment="LiAl3Zn3 | Alexandria via LeMat-Bulk | PBE-GGA | optimized geometry" e_form_ev_per_fu=3.33 final_energy_ev_per_atom=-1.95 magmom_total_mub_per_cell=0.000 pbc="T T T"
Li 0.000 0.000 0.000
Li 3.541 3.541 3.541
Al 0.000 1.770 3.541
Al 0.000 5.311 3.541
Al 1.770 3.541 0.000
Al 3.541 0.000 1.770
Al 3.541 0.000 5.311
Al 5.311 3.541 0.000
Zn 0.000 3.541 1.770
Zn 0.000 3.541 5.311
Zn 1.770 0.000 3.541
Zn 3.541 1.770 0.000
Zn 3.541 5.311 0.000
Zn 5.311 0.000 3.541



# 5
9
Lattice="6.466 0.000 0.000 -3.233 5.600 0.000 0.000 0.000 5.128" Properties=species:S:1:pos:R:3 comment="Cs2HfF6 | Alexandria via LeMat-Bulk | PBE-GGA | optimized geometry" final_energy_ev_per_atom=-6.04 magmom_total_mub_per_cell=0.125 e_form_raw_ev_per_atom=-3.493 pbc="T T T"
Cs 0.000 3.733 0.980
Cs 3.233 1.867 4.148
Hf 0.000 0.000 2.564
F 0.000 1.677 3.681
F -1.781 4.761 3.681
F 1.452 0.839 1.447
F 1.781 4.761 3.681
F 5.014 0.839 1.447
F 3.233 3.923 1.447



# 6
10
Lattice="6.621 0.000 0.000 0.000 6.621 0.000 0.000 0.000 4.571" Properties=species:S:1:pos:R:3 comment="Sc2Nb2Ir | Alexandria via LeMat-Bulk | PBE-GGA | optimized geometry" e_form_ev_per_fu=0.87 final_energy_ev_per_atom=-8.16 magmom_total_mub_per_cell=0.000 pbc="T T T"
Sc 1.030 2.280 0.000
Sc 2.280 5.591 0.000
Sc 4.340 1.030 0.000
Sc 5.591 4.340 0.000
Nb 0.959 4.270 2.285
Nb 2.351 0.959 2.285
Nb 4.270 5.661 2.285
Nb 5.661 2.351 2.285
Ir 0.000 0.000 0.000
Ir 3.310 3.310 0.000



# 7
19
Lattice="7.169 4.139 4.810 -7.169 4.139 4.810 0.000 -8.279 4.810" Properties=species:S:1:pos:R:3 comment="K6NpBr12 | Alexandria via LeMat-Bulk | PBE-GGA | optimized geometry" final_energy_ev_per_atom=-3.47 magmom_total_mub_per_cell=2.228 e_form_raw_ev_per_atom=-1.385 pbc="T T T"
K -3.941 -3.900 7.907
K -5.348 1.463 6.521
K 1.407 -5.363 6.521
K -1.407 5.363 7.907
K 5.348 -1.463 7.907
K 3.941 3.900 6.521
Np 0.000 0.000 7.214
Br -1.771 -5.620 6.337
Br -5.752 -1.276 8.092
Br -2.046 -0.743 5.679
Br -3.981 4.343 6.337
Br 1.667 -1.401 5.679
Br -0.380 -2.144 8.750
Br 0.380 2.144 5.679
Br -1.667 1.401 8.750
Br 3.981 -4.343 8.092
Br 2.046 0.743 8.750
Br 5.752 1.276 6.337
Br 1.771 5.620 8.092



# 8
4
Lattice="2.692 0.000 0.000 0.000 5.371 0.000 0.000 0.000 5.630" Properties=species:S:1:pos:R:3 comment="KAg2Os | Alexandria via LeMat-Bulk | PBE-GGA | optimized geometry" e_form_ev_per_fu=4.22 final_energy_ev_per_atom=-3.45 magmom_total_mub_per_cell=0.452 pbc="T T T"
K 0.000 0.000 0.000
Ag 0.000 2.686 2.815
Ag 1.346 2.686 0.000
Os 1.346 0.000 2.815



# 9
9
Lattice="3.693 0.000 0.000 0.000 3.693 0.000 0.000 0.000 10.321" Properties=species:S:1:pos:R:3 comment="NpPaCo5P2 | Alexandria via LeMat-Bulk | PBE-GGA | optimized geometry" e_form_ev_per_fu=-3.30 final_energy_ev_per_atom=-8.01 magmom_total_mub_per_cell=3.824 pbc="T T T"
Np 0.000 0.000 0.000
Pa 0.000 0.000 5.160
Co 0.000 1.846 3.280
Co 0.000 1.846 7.040
Co 1.846 0.000 3.280
Co 1.846 0.000 7.040
Co 1.846 1.846 0.000
P 1.846 1.846 2.141
P 1.846 1.846 8.180



# 10
5
Lattice="4.715 0.000 0.000 0.000 4.715 0.000 0.000 0.000 4.715" Properties=species:S:1:pos:R:3 comment="Ti3ZnBi | Alexandria via LeMat-Bulk | PBE-GGA | optimized geometry" e_form_ev_per_fu=2.08 final_energy_ev_per_atom=-5.35 magmom_total_mub_per_cell=1.077 pbc="T T T"
Ti 0.000 0.000 2.357
Ti 0.000 2.357 0.000
Ti 2.357 0.000 0.000
Zn 0.000 0.000 0.000
Bi 2.357 2.357 2.357



# 11
4
Lattice="-1.954 2.719 4.156 1.954 -2.719 4.156 1.954 2.719 -4.156" Properties=species:S:1:pos:R:3 comment="CaSbP2 | Alexandria via LeMat-Bulk | PBE-GGA | optimized geometry" final_energy_ev_per_atom=-4.36 magmom_total_mub_per_cell=0.000 e_form_raw_ev_per_atom=-0.129 pbc="T T T"
Ca 0.000 0.000 0.000
Sb 0.000 0.000 4.156
P 1.954 0.000 2.268
P 0.000 2.719 1.888



# 12
5
Lattice="4.709 0.000 0.000 0.000 4.709 0.000 0.000 0.000 4.709" Properties=species:S:1:pos:R:3 comment="ScIr3Rh | Alexandria via LeMat-Bulk | PBE-GGA | optimized geometry" e_form_ev_per_fu=6.17 final_energy_ev_per_atom=-6.82 magmom_total_mub_per_cell=0.573 pbc="T T T"
Sc 0.000 0.000 0.000
Ir 0.000 2.354 2.354
Ir 2.354 0.000 2.354
Ir 2.354 2.354 0.000
Rh 2.354 2.354 2.354



# 13
4
Lattice="1.492 0.862 8.328 -1.492 0.862 8.328 0.000 -1.723 8.328" Properties=species:S:1:pos:R:3 comment="Zn2AgP | Alexandria via LeMat-Bulk | PBE-GGA | optimized geometry" e_form_ev_per_fu=0.85 final_energy_ev_per_atom=-2.49 magmom_total_mub_per_cell=0.000 pbc="T T T"
Zn 0.000 0.000 0.000
Zn 0.000 0.000 6.311
Ag 0.000 0.000 12.455
P 0.000 0.000 18.603



# 14
20
Lattice="9.915 0.000 0.000 0.000 9.915 0.000 0.000 0.000 3.325" Properties=species:S:1:pos:R:3 comment="HfZr2Al2Ru5 | Alexandria via LeMat-Bulk | PBE-GGA | optimized geometry" e_form_ev_per_fu=-5.38 final_energy_ev_per_atom=-8.63 magmom_total_mub_per_cell=0.000 pbc="T T T"
Hf 0.000 0.000 0.000
Hf 4.957 4.957 0.000
Zr 1.712 3.245 0.000
Zr 3.245 8.202 0.000
Zr 6.670 1.712 0.000
Zr 8.202 6.670 0.000
Al 1.249 6.206 0.000
Al 3.709 1.249 0.000
Al 6.206 8.666 0.000
Al 8.666 3.709 0.000
Ru 0.000 4.957 1.663
Ru 0.699 7.890 1.663
Ru 2.025 0.699 1.663
Ru 2.933 5.657 1.663
Ru 4.258 2.933 1.663
Ru 4.957 0.000 1.663
Ru 5.657 6.982 1.663
Ru 6.982 4.258 1.663
Ru 7.890 9.216 1.663
Ru 9.216 2.025 1.663



# 15
5
Lattice="4.883 0.000 0.000 0.000 4.883 0.000 0.000 0.000 5.198" Properties=species:S:1:pos:R:3 comment="SrZn2CdIr | Alexandria via LeMat-Bulk | PBE-GGA | optimized geometry" e_form_ev_per_fu=-1.01 final_energy_ev_per_atom=-3.00 magmom_total_mub_per_cell=0.000 pbc="T T T"
Sr 0.000 0.000 0.000
Zn 0.000 2.442 2.599
Zn 2.442 0.000 2.599
Cd 2.442 2.442 0.000
Ir 2.442 2.442 2.599



# 16
10
Lattice="-1.768 2.866 16.275 1.768 -2.866 16.275 1.768 2.866 -16.275" Properties=species:S:1:pos:R:3 comment="Sm2TmTh2 | Alexandria via LeMat-Bulk | PBE-GGA | optimized geometry" e_form_ev_per_fu=0.76 final_energy_ev_per_atom=-5.60 magmom_total_mub_per_cell=0.000 pbc="T T T"
Sm 0.000 1.433 0.715
Sm 0.000 1.433 3.862
Sm 1.768 1.433 12.413
Sm 1.768 1.433 15.560
Tm 1.768 1.433 -2.492
Tm 0.000 1.433 18.767
Th 1.768 -1.433 10.059
Th 1.768 1.433 6.777
Th 0.000 1.433 9.497
Th 0.000 4.299 6.216



# 17
5
Lattice="5.628 0.000 0.000 0.000 5.628 0.000 0.000 0.000 5.233" Properties=species:S:1:pos:R:3 comment="Na2HfCrBi | Alexandria via LeMat-Bulk | PBE-GGA | optimized geometry" e_form_ev_per_fu=6.11 final_energy_ev_per_atom=-4.00 magmom_total_mub_per_cell=2.705 pbc="T T T"
Na 0.000 2.814 0.000
Na 2.814 0.000 0.000
Hf 0.000 0.000 2.617
Cr 2.814 2.814 2.617
Bi 2.814 2.814 0.000



# 18
4
Lattice="-2.012 2.925 3.974 2.012 -2.925 3.974 2.012 2.925 -3.974" Properties=species:S:1:pos:R:3 comment="Cd2AsSe | Alexandria via LeMat-Bulk | PBE-GGA | optimized geometry" final_energy_ev_per_atom=-2.39 magmom_total_mub_per_cell=0.000 e_form_raw_ev_per_atom=0.102 pbc="T T T"
Cd 0.000 0.000 1.966
Cd 0.000 0.000 5.981
As 2.012 0.000 0.000
Se 0.000 2.925 0.000



# 19
5
Lattice="2.000 -7.910 0.000 2.000 7.910 0.000 0.000 0.000 4.466" Properties=species:S:1:pos:R:3 comment="Ac2CdSi2 | Alexandria via LeMat-Bulk | PBE-GGA | optimized geometry" final_energy_ev_per_atom=-4.53 magmom_total_mub_per_cell=0.000 e_form_raw_ev_per_atom=-0.534 pbc="T T T"
Ac 2.000 5.781 0.000
Ac 2.000 -5.781 0.000
Cd 2.000 0.000 2.233
Si 2.000 3.278 2.233
Si 2.000 -3.278 2.233



# 20
4
Lattice="-2.034 2.034 2.910 2.034 -2.034 2.910 2.034 2.034 -2.910" Properties=species:S:1:pos:R:3 comment="AcH3 | Alexandria via LeMat-Bulk | PBE-GGA | optimized geometry" final_energy_ev_per_atom=-4.11 magmom_total_mub_per_cell=0.000 pbc="T T T"
Ac 0.000 0.000 0.000
H 2.034 0.000 1.455
H 0.000 0.000 2.910
H 0.000 2.034 1.455



# 21
6
Lattice="2.717 -9.430 0.000 2.717 9.430 0.000 0.000 0.000 4.453" Properties=species:S:1:pos:R:3 comment="BaCaCr | Alexandria via LeMat-Bulk | PBE-GGA | optimized geometry" e_form_ev_per_fu=1.63 final_energy_ev_per_atom=-3.97 magmom_total_mub_per_cell=5.066 pbc="T T T"
Ba 2.717 6.174 2.226
Ba 2.717 -6.174 0.000
Ca 2.717 1.353 2.225
Ca 2.717 -1.353 4.451
Cr 2.717 -9.430 1.094
Cr 2.717 9.430 3.321



# 22
4
Lattice="0.000 3.145 3.145 3.145 0.000 3.145 3.145 3.145 0.000" Properties=species:S:1:pos:R:3 comment="GaW2Se | Alexandria via LeMat-Bulk | PBE-GGA | optimized geometry" final_energy_ev_per_atom=-7.57 magmom_total_mub_per_cell=0.000 e_form_raw_ev_per_atom=0.533 pbc="T T T"
Ga 0.000 0.000 0.000
W 1.572 1.572 1.572
W 4.717 4.717 4.717
Se 3.145 3.145 3.145



# 23
5
Lattice="5.610 0.000 0.000 0.000 5.610 0.000 0.000 0.000 5.329" Properties=species:S:1:pos:R:3 comment="YZrNbBi2 | Alexandria via LeMat-Bulk | PBE-GGA | optimized geometry" e_form_ev_per_fu=5.20 final_energy_ev_per_atom=-5.53 magmom_total_mub_per_cell=3.666 pbc="T T T"
Y 0.000 0.000 0.000
Zr 0.000 0.000 2.665
Nb 2.805 2.805 0.000
Bi 0.000 2.805 2.665
Bi 2.805 0.000 2.665



# 24
6
Lattice="3.769 0.000 0.000 -0.003 5.360 0.000 -0.087 -1.398 10.595" Properties=species:S:1:pos:R:3 comment="RbScSi | Alexandria via LeMat-Bulk | PBE-GGA | optimized geometry" final_energy_ev_per_atom=-4.25 magmom_total_mub_per_cell=1.297 e_form_raw_ev_per_atom=-0.013 pbc="T T T"
Rb 0.896 1.358 1.790
Rb 2.783 2.604 8.805
Sc 0.897 -0.062 6.402
Sc 2.782 4.024 4.193
Si 0.897 2.633 5.771
Si 2.782 1.329 4.825



# 25
12
Lattice="3.951 -6.845 0.000 3.951 6.845 0.000 -2.638 0.000 8.251" Properties=species:S:1:pos:R:3 comment="K3NdSb2Te6 | Alexandria via LeMat-Bulk | PBE-GGA | optimized geometry" final_energy_ev_per_atom=-3.75 magmom_total_mub_per_cell=0.000 e_form_raw_ev_per_atom=-0.819 pbc="T T T"
K 0.000 0.000 0.000
K 3.951 2.270 0.000
K 3.951 -2.270 0.000
Nd 2.632 0.000 4.125
Sb 2.632 4.560 4.125
Sb 2.632 -4.560 4.125
Te 1.283 2.340 2.410
Te -0.067 0.000 5.841
Te 1.283 -2.340 2.410
Te 3.981 2.340 5.841
Te 5.331 0.000 2.410
Te 3.981 -2.340 5.841